Version A
Here is a relaxed K3Ta crystal from Alexandria via LeMat-Bulk. Energies are from PBE.

Calculated values
Total moment ... 1.12 μB per cell
Volume ... 38.474 Å³/atom

Cell lengths 3.0390, 6.5047, 7.8365 Å; angles 90.00, 96.57, 90.00 degrees
Last column: nearest neighbours and their distance in Å.
Space group P2/m (No. 10)
Symmetry-distinct sites (fractional):
1 K 0.0000 0.0000 0.0000 (multiplicity 1)  2 K 3.04
2 K 0.1536 0.5000 0.7192 (multiplicity 2)  2 K 3.04
3 Ta 0.5000 0.0000 0.5000 (multiplicity 1)  2 Ta 3.04


Version B
Here is a relaxed K3Ta crystal from Alexandria via LeMat-Bulk. Energies are from PBE.

Calculated values
Total moment ... 1.49 μB per cell
Volume ... 39.072 Å³/atom

Cell lengths 3.3138, 3.3138, 14.2319 Å; angles 90.00, 90.00, 90.00 degrees
Last column: nearest neighbours and their distance in Å.
Space group P4/mmm (No. 123)
Symmetry-distinct sites (fractional):
1 K 0.0000 0.0000 0.0000 (multiplicity 1)  4 K 3.31
2 K 0.5000 0.5000 0.2965 (multiplicity 2)  4 K 3.31
3 Ta 0.0000 0.0000 0.5000 (multiplicity 1)  4 Ta 3.31


Referenced to the most stable arrangement, the calculated values in eV/atom are version A 0.091; version B 0.000.


Version A
Here is a relaxed K3Ta crystal from Alexandria via LeMat-Bulk. Energies are from PBE.

Calculated values
Total moment ... 3.73 μB per cell
Volume ... 42.335 Å³/atom

Cell lengths 6.9190, 6.9190, 3.5372 Å; angles 90.00, 90.00, 90.00 degrees
Last column: nearest neighbours and their distance in Å.
Space group P4/mmm (No. 123)
Symmetry-distinct sites (fractional):
1 K 0.0000 0.0000 0.0000 (multiplicity 1)  10 K 3.54-3.89
2 K 0.0000 0.5000 0.5000 (multiplicity 2)  6 K 3.54-3.89, 4 Ta 3.89
3 Ta 0.5000 0.5000 0.0000 (multiplicity 1)  2 Ta 3.54, 8 K 3.89


Version B
Here is a relaxed K3Ta crystal from Alexandria via LeMat-Bulk. Energies are from PBE.

Calculated values
Total moment ... 2.54 μB per cell
Volume ... 38.176 Å³/atom

Cell lengths 7.7040, 12.9723, 3.0560 Å; angles 90.00, 90.00, 90.00 degrees
Last column: nearest neighbours and their distance in Å.
Space group Cmmm (No. 65)
Symmetry-distinct sites (fractional):
1 K 0.0000 0.0000 0.0000 (multiplicity 2)  2 K 3.06
2 K 0.2500 0.2500 0.5000 (multiplicity 4)  2 K 3.06
3 Ta 0.0000 0.5000 0.0000 (multiplicity 2)  2 Ta 3.06


Referenced to the most stable arrangement, the calculated values in eV/atom are version A 0.073; version B 0.000.


Version A
Here is a relaxed KTa crystal from Alexandria via LeMat-Bulk. Energies are from PBE.

Calculated values
Total moment ... 0.00 μB per cell
Volume ... 42.568 Å³/atom

Cell lengths 14.1924, 14.1924, 2.9284 Å; angles 90.00, 90.00, 120.00 degrees
Last column: nearest neighbours and their distance in Å.
Space group P6_3/m (No. 176)
Symmetry-distinct sites (fractional):
1 K 0.1297 0.3565 0.2500 (multiplicity 6)  2 K 2.93
2 Ta 0.0742 0.5739 0.2500 (multiplicity 6)  2 Ta 2.56


Version B
Here is a relaxed KTa crystal from Alexandria via LeMat-Bulk. Energies are from PBE.

Calculated values
Total moment ... 0.00 μB per cell
Volume ... 33.011 Å³/atom

Cell lengths 2.9391, 6.8884, 13.0442 Å; angles 90.00, 90.00, 90.00 degrees
Last column: nearest neighbours and their distance in Å.
Space group Imma (No. 74)
Symmetry-distinct sites (fractional):
1 K 0.0000 0.2500 0.1049 (multiplicity 4)  2 K 2.94
2 Ta 0.0000 0.2500 0.6695 (multiplicity 4)  2 Ta 2.56


Referenced to the most stable arrangement, the calculated values in eV/atom are version A 0.127; version B 0.000.


Version A
Here is a relaxed KTa crystal from Alexandria via LeMat-Bulk. Energies are from PBE.

Calculated values
Total moment ... 0.00 μB per cell
Volume ... 40.764 Å³/atom

Cell lengths 5.9639, 12.8487, 4.2557 Å; angles 90.00, 90.00, 90.00 degrees
Last column: nearest neighbours and their distance in Å.
Space group Cmcm (No. 63)
Symmetry-distinct sites (fractional):
1 K 0.0000 0.1424 0.2500 (multiplicity 4)  7 Ta 3.84-4.00, 4 K 4.23-4.26
2 Ta 0.0000 0.4539 0.2500 (multiplicity 4)  2 Ta 2.44


Version B
Here is a relaxed KTa crystal from Alexandria via LeMat-Bulk. Energies are from PBE.

Calculated values
Total moment ... 4.51 μB per cell
Volume ... 25.386 Å³/atom

Cell lengths 7.4058, 7.4058, 7.4058 Å; angles 90.00, 90.00, 90.00 degrees
Last column: nearest neighbours and their distance in Å.
Space group Fd-3m (No. 227, origin choice 2)
Symmetry-distinct sites (fractional):
1 K 0.1250 0.1250 0.1250 (multiplicity 8)  4 Ta 3.21, 4 K 3.21
2 Ta 0.1250 0.1250 0.6250 (multiplicity 8)  4 Ta 3.21, 4 K 3.21


Version C
Here is a relaxed KTa crystal from Alexandria via LeMat-Bulk. Energies are from PBE.

Calculated values
Total moment ... 3.96 μB per cell
Volume ... 42.854 Å³/atom

Cell lengths 6.9306, 6.9306, 7.1373 Å; angles 90.00, 90.00, 90.00 degrees
Last column: nearest neighbours and their distance in Å.
Space group P4_2/mnm (No. 136)
Symmetry-distinct sites (fractional):
1 K 0.1618 0.1618 0.0000 (multiplicity 4)  1 K 3.17, 2 Ta 3.50
2 Ta 0.1151 0.1151 0.5000 (multiplicity 4)  1 Ta 2.26


Referenced to the most stable arrangement, the calculated values in eV/atom are version A 0.000; version B 0.243; version C 0.534.


Version A
Here is a relaxed KTa crystal from Alexandria via LeMat-Bulk. Energies are from PBE.

Calculated values
Total moment ... 0.00 μB per cell
Volume ... 25.232 Å³/atom

Cell lengths 2.9654, 2.9654, 13.2530 Å; angles 90.00, 90.00, 120.00 degrees
Last column: nearest neighbours and their distance in Å.
Space group P6_3mc (No. 186)
Symmetry-distinct sites (fractional):
1 K 0.3333 0.6667 0.0000 (multiplicity 2)  6 K 2.97
2 Ta 0.3333 0.6667 0.2527 (multiplicity 2)  6 Ta 2.97


Version B
Here is a relaxed KTa crystal from Alexandria via LeMat-Bulk. Energies are from PBE.

Calculated values
Total moment ... 0.00 μB per cell
Volume ... 30.503 Å³/atom

Cell lengths 3.4007, 3.4007, 12.1825 Å; angles 90.00, 90.00, 120.00 degrees
Last column: nearest neighbours and their distance in Å.
Space group P-3m1 (No. 164)
Symmetry-distinct sites (fractional):
1 K 0.3333 0.6667 0.1692 (multiplicity 2)  6 K 3.40, 3 Ta 3.69
2 Ta 0.3333 0.6667 0.5741 (multiplicity 2)  3 Ta 2.67


Referenced to the most stable arrangement, the calculated values in eV/atom are version A 0.382; version B 0.000.


Version A
Here is a relaxed KTa crystal from Alexandria via LeMat-Bulk. Energies are from PBE.

Calculated values
Total moment ... 24.00 μB per cell
Volume ... 88.056 Å³/atom

Cell lengths 10.1854, 10.1854, 10.1854 Å; angles 90.00, 90.00, 90.00 degrees
Last column: nearest neighbours and their distance in Å.
Space group Pm-3n (No. 223)
Symmetry-distinct sites (fractional):
1 K 0.0000 0.2500 0.5000 (multiplicity 6)  4 Ta 3.60
2 Ta 0.0000 0.5000 0.2500 (multiplicity 6)  4 K 3.60


Version B
Here is a relaxed KTa crystal from Alexandria via LeMat-Bulk. Energies are from PBE.

Calculated values
Total moment ... 0.00 μB per cell
Volume ... 30.642 Å³/atom

Cell lengths 3.4022, 3.4022, 36.6819 Å; angles 90.00, 90.00, 120.00 degrees
Last column: nearest neighbours and their distance in Å.
Space group R-3m (No. 166, hexagonal axes)
Symmetry-distinct sites (fractional):
1 K 0.0000 0.0000 0.1108 (multiplicity 6)  6 K 3.40, 3 Ta 3.72
2 Ta 0.0000 0.0000 0.3579 (multiplicity 6)  3 Ta 2.67


Version C
Here is a relaxed KTa crystal from Alexandria via LeMat-Bulk. Energies are from PBE.

Calculated values
Total moment ... 8.00 μB per cell
Volume ... 58.507 Å³/atom

Cell lengths 6.1810, 6.1810, 7.0731 Å; angles 90.00, 90.00, 120.00 degrees
Last column: nearest neighbours and their distance in Å.
Space group P6_3/mmc (No. 194)
Symmetry-distinct sites (fractional):
1 K 0.3333 0.6667 0.2500 (multiplicity 2)  5 Ta 3.54-3.57
2 Ta 0.3333 0.6667 0.7500 (multiplicity 2)  5 K 3.54-3.57


Referenced to the most stable arrangement, the calculated values in eV/atom are version A 2.498; version B 0.000; version C 2.328.


Version A
Here is a relaxed KTa5 crystal from Alexandria via LeMat-Bulk. Energies are from PBE.

Calculated values
Total moment ... 0.00 μB per cell
Volume ... 22.941 Å³/atom

Cell lengths 4.8960, 2.7473, 20.4664 Å; angles 90.00, 90.00, 90.00 degrees
Last column: nearest neighbours and their distance in Å.
Space group Amm2 (No. 38)
Symmetry-distinct sites (fractional):
1 K 0.0000 0.0000 0.0000 (multiplicity 2)  2 K 2.75
2 Ta 0.0000 0.0000 0.3209 (multiplicity 2)  8 Ta 2.75-3.01
3 Ta 0.0000 0.0000 0.6826 (multiplicity 2)  8 Ta 2.75-3.07
4 Ta 0.5000 0.0000 0.2436 (multiplicity 2)  12 Ta 2.75-3.07
5 Ta 0.5000 0.0000 0.6200 (multiplicity 2)  6 Ta 2.75-2.88
6 Ta 0.5000 0.0000 0.8743 (multiplicity 2)  8 Ta 2.75-3.01


Version B
Here is a relaxed KTa5 crystal from Alexandria via LeMat-Bulk. Energies are from PBE.

Calculated values
Total moment ... 0.00 μB per cell
Volume ... 20.371 Å³/atom

Cell lengths 5.0719, 9.8079, 4.9141 Å; angles 90.00, 90.00, 90.00 degrees
Last column: nearest neighbours and their distance in Å.
Space group Cmmm (No. 65)
Symmetry-distinct sites (fractional):
1 K 0.0000 0.0000 0.0000 (multiplicity 2)  10 Ta 3.03-3.24
2 Ta 0.0000 0.1982 0.5000 (multiplicity 4)  5 Ta 2.73-2.96
3 Ta 0.0000 0.3301 0.0000 (multiplicity 4)  6 Ta 2.78-2.98, 2 K 3.03
4 Ta 0.0000 0.5000 0.5000 (multiplicity 2)  10 Ta 2.96-3.20


Referenced to the most stable arrangement, the calculated values in eV/atom are version A 0.000; version B 0.183.


Version A
Here is a relaxed KTa4 crystal from Alexandria via LeMat-Bulk. Energies are from PBE.

Calculated values
Total moment ... 0.00 μB per cell
Volume ... 22.289 Å³/atom

Cell lengths 6.0631, 6.0631, 6.0631 Å; angles 90.00, 90.00, 90.00 degrees
Last column: nearest neighbours and their distance in Å.
Space group Im-3m (No. 229)
Symmetry-distinct sites (fractional):
1 K 0.0000 0.0000 0.0000 (multiplicity 2)  8 Ta 2.63
2 Ta 0.2500 0.2500 0.2500 (multiplicity 8)  2 K 2.63


Version B
Here is a relaxed KTa4 crystal from Alexandria via LeMat-Bulk. Energies are from PBE.

Calculated values
Total moment ... 0.00 μB per cell
Volume ... 19.641 Å³/atom

Cell lengths 4.6136, 4.6136, 4.6136 Å; angles 90.00, 90.00, 90.00 degrees
Last column: nearest neighbours and their distance in Å.
Space group Pm-3m (No. 221)
Symmetry-distinct sites (fractional):
1 K 0.0000 0.0000 0.0000 (multiplicity 1)  6 Ta 2.31
2 Ta 0.0000 0.0000 0.5000 (multiplicity 3)  2 K 2.31
3 Ta 0.5000 0.5000 0.5000 (multiplicity 1)  12 Ta 3.26


Referenced to the most stable arrangement, the calculated values in eV/atom are version A 0.000; version B 0.050.